(1)
Here is a geometry-optimized KBiRhO6 structure from Alexandria via LeMat-Bulk. Energies are from GGA-PBE.

The structure belongs to space group P312 (No. 149); the cell edges are 5.5023, 5.5023 and 6.0060 Å and the angles 90.00°, 90.00° and 120.00°. The distinct sites, in fractional coordinates, are K at (0.0000, 0.0000, 0.0000), Bi at (0.3333, 0.6667, 0.5000), Rh at (0.6667, 0.3333, 0.5000) and O at (0.3971, 0.0286, 0.6909).

The calculation puts the total energy at -49.046 eV per cell. For the density, the calculation gives 4.71 Mg/m³. The density of states at the Fermi level is 3.96 states/eV/cell. The volume is 17.50 Å³/atom.



(2)
Here is a geometry-optimized K3BiRh3O8 structure from Alexandria via LeMat-Bulk. Energies are from GGA-PBE.

The structure belongs to space group R-3m (No. 166, hexagonal axes); the cell edges are 6.4993, 6.4993 and 18.1265 Å and the angles 90.00°, 90.00° and 120.00°. The distinct sites, in fractional coordinates, are K at (0.0000, 0.5000, 0.0000), Bi at (0.0000, 0.0000, 0.5000), Rh at (0.0000, 0.5000, 0.5000), O at (0.0000, 0.0000, 0.2217) and O at (0.0286, 0.5143, 0.7736).

The calculation puts the total energy at -253.208 eV per cell. For the density, the calculation gives 5.73 Mg/m³. The density of states at the Fermi level is 17.39 states/eV/cell. The volume is 14.73 Å³/atom.



What did the second record say?
Here is a geometry-optimized K3BiRh3O8 structure from Alexandria via LeMat-Bulk. Energies are from GGA-PBE.

The structure belongs to space group R-3m (No. 166, hexagonal axes); the cell edges are 6.4993, 6.4993 and 18.1265 Å and the angles 90.00°, 90.00° and 120.00°. The distinct sites, in fractional coordinates, are K at (0.0000, 0.5000, 0.0000), Bi at (0.0000, 0.0000, 0.5000), Rh at (0.0000, 0.5000, 0.5000), O at (0.0000, 0.0000, 0.2217) and O at (0.0286, 0.5143, 0.7736).

The calculation puts the total energy at -253.208 eV per cell. For the density, the calculation gives 5.73 Mg/m³. The density of states at the Fermi level is 17.39 states/eV/cell. The volume is 14.73 Å³/atom.